This record from the Alexandria database describes a geometry-optimized Re3Pb3O10 structure. The functional is GGA-PBEsol.

## Properties
- crystal system = tetragonal
- ΔE_f (raw) (meV/atom) = -1342
- energy (eV per formula unit) = -125.96

Cell: 7.3611 7.3611 16.5802 Å, 102.83 102.83 90.00°
Last column: nearest neighbours and their distance in Å.
Sites, in units of the cell vectors:
Re1 0.4574 0.7080 0.4161  6 O 1.96-1.99
Re2 0.9580 0.2074 0.9161  6 O 1.96-1.99
Re3 0.2913 0.0420 0.0839  6 O 1.96-1.99
Re4 0.7926 0.0420 0.0839  6 O 1.96-1.99
Re5 0.9580 0.7087 0.9161  6 O 1.96-1.99
Re6 0.6250 0.3750 0.7500  6 O 1.97-1.98
Re7 0.1250 0.3750 0.7500  6 O 1.97-1.98
Re8 0.2920 0.0413 0.5839  6 O 1.96-1.99
Re9 0.9587 0.7080 0.4161  6 O 1.96-1.99
Re10 0.2920 0.5426 0.5839  6 O 1.96-1.99
Re11 0.6250 0.3750 0.2500  6 O 1.97-1.98
Re12 0.6250 0.8750 0.2500  6 O 1.97-1.98
Pb1 0.7888 0.5354 0.5775  1 O 2.19
Pb2 0.7888 0.0421 0.5775  1 O 2.19
Pb3 0.1250 0.8750 0.2500  8 O 2.42-2.68
Pb4 0.1250 0.3750 0.2500  8 O 2.42-2.68
Pb5 0.4612 0.2146 0.9225  1 O 2.19
Pb6 0.4646 0.2112 0.4225  1 O 2.19
Pb7 0.1250 0.8750 0.7500  8 O 2.42-2.68
Pb8 0.6250 0.8750 0.7500  8 O 2.42-2.68
Pb9 0.4612 0.7079 0.9225  1 O 2.19
Pb10 0.7854 0.5388 0.0775  1 O 2.19
Pb11 0.9579 0.2112 0.4225  1 O 2.19
Pb12 0.2921 0.5388 0.0775  1 O 2.19
O1 0.4779 0.8558 0.3336  2 Re 1.96-1.97
O2 0.0752 0.5752 0.1503  4 Pb 2.19-2.42
O3 0.4779 0.4778 0.3336  2 Re 1.96-1.97
O4 0.1897 0.1897 0.0000  2 Re 1.97
O5 0.8103 0.1897 0.0000  2 Re 1.97
O6 0.0638 0.0638 0.1276  2 Re 1.96
O7 0.4248 0.9248 0.8497  4 Pb 2.19-2.42
O8 0.9362 0.9362 0.8724  2 Re 1.96
O9 0.1897 0.8103 0.0000  2 Re 1.97
O10 0.8103 0.8103 0.0000  2 Re 1.97
O11 0.5222 0.5221 0.6664  2 Re 1.96-1.97
O12 0.7278 0.6057 0.8336  2 Re 1.96-1.97
O13 0.1442 0.5221 0.6664  2 Re 1.96-1.97
O14 0.3980 0.3980 0.7961  2 Re 1.98
O15 0.9819 0.4819 0.9639  2 Re 1.99
O16 0.8520 0.3520 0.7039  2 Re 1.98
O17 0.2681 0.2681 0.5361  2 Re 1.99
O18 0.5222 0.1443 0.6664  2 Re 1.96-1.97
O19 0.7278 0.2279 0.8336  2 Re 1.96-1.97
O20 0.1442 0.1443 0.6664  2 Re 1.96-1.97
O21 0.8557 0.8558 0.3336  2 Re 1.96-1.97
O22 0.4397 0.9397 0.5000  2 Re 1.97
O23 0.0603 0.9397 0.5000  2 Re 1.97
O24 0.7319 0.7319 0.4639  2 Re 1.99
O25 0.8252 0.8252 0.6503  4 Pb 2.19-2.42
O26 0.3138 0.8138 0.6276  2 Re 1.96
O27 0.1862 0.6862 0.3724  2 Re 1.96
O28 0.6020 0.6020 0.2039  2 Re 1.98
O29 0.8557 0.4778 0.3336  2 Re 1.96-1.97
O30 0.4397 0.5603 0.5000  2 Re 1.97
O31 0.0603 0.5603 0.5000  2 Re 1.97
O32 0.7721 0.2722 0.1664  2 Re 1.96-1.97
O33 0.3943 0.2722 0.1664  2 Re 1.96-1.97
O34 0.6480 0.1480 0.2961  2 Re 1.98
O35 0.1748 0.1748 0.3497  4 Pb 2.19-2.42
O36 0.5181 0.0181 0.0361  2 Re 1.99
O37 0.7721 0.8942 0.1664  2 Re 1.96-1.97
O38 0.3943 0.8942 0.1664  2 Re 1.96-1.97
O39 0.1058 0.6057 0.8336  2 Re 1.96-1.97
O40 0.1058 0.2279 0.8336  2 Re 1.96-1.97


This record from the Alexandria database describes a geometry-optimized RePb3O structure. The functional is GGA-PBEsol.

## Properties
- crystal system = cubic
- ΔE to the lowest computed polymorph (kJ/mol of formula units) = 45
- ΔE_f (raw) (meV/atom) = 752
- energy (eV per formula unit) = -26.82

Cell: 5.2038 5.2038 5.2038 Å, 90.00 90.00 90.00°
Last column: nearest neighbours and their distance in Å.
Sites, in units of the cell vectors:
Pb1 0.0000 0.5000 0.0000  2 Re 2.60
Pb2 0.0000 0.0000 0.5000  2 Re 2.60
Pb3 0.5000 0.0000 0.0000  2 Re 2.60
Re1 0.0000 0.0000 0.0000  6 Pb 2.60
O1 0.5000 0.5000 0.5000  12 Pb 3.68


This record from the Alexandria database describes a geometry-optimized RePb3O structure. The functional is GGA-PBEsol.

## Properties
- crystal system = cubic
- ΔE to the lowest computed polymorph (kJ/mol of formula units) = 0
- ΔE_f (raw) (meV/atom) = 657
- energy (eV per formula unit) = -27.29

Cell: 4.7634 4.7634 4.7634 Å, 90.00 90.00 90.00°
Last column: nearest neighbours and their distance in Å.
Sites, in units of the cell vectors:
Pb1 0.0000 0.5000 0.0000  2 O 2.38
Pb2 0.0000 0.0000 0.5000  2 O 2.38
Pb3 0.5000 0.0000 0.0000  2 O 2.38
Re1 0.5000 0.5000 0.5000  12 Pb 3.37
O1 0.0000 0.0000 0.0000  6 Pb 2.38


This record from the Alexandria database describes a geometry-optimized Re6Pb5O19 structure. The functional is GGA-PBEsol.

## Properties
- crystal system = monoclinic
- ΔE_f (raw) (meV/atom) = -1411
- energy (eV per formula unit) = -242.06

Cell: 9.2791 9.2799 9.2855 Å, 90.00 90.88 90.00°
Last column: nearest neighbours and their distance in Å.
Sites, in units of the cell vectors:
Re1 0.7500 0.1176 0.7500  6 O 1.95-2.02
Re2 0.3835 0.2504 0.7566  6 O 1.92-2.01
Re3 0.2502 0.2454 0.1165  6 O 1.92-2.01
Re4 0.2498 0.2454 0.3835  6 O 1.92-2.01
Re5 0.1165 0.2504 0.7434  6 O 1.92-2.01
Re6 0.7500 0.3844 0.7500  6 O 1.97-2.00
Re7 0.2500 0.6156 0.2500  6 O 1.97-2.00
Re8 0.8835 0.7496 0.2566  6 O 1.92-2.01
Re9 0.7502 0.7546 0.6165  6 O 1.92-2.01
Re10 0.7498 0.7546 0.8835  6 O 1.92-2.01
Re11 0.6165 0.7496 0.2434  6 O 1.92-2.01
Re12 0.2500 0.8824 0.2500  6 O 1.95-2.02
Pb1 0.6049 0.0940 0.3891  3 O 2.34-2.55
Pb2 0.8951 0.0940 0.1109  3 O 2.34-2.55
Pb3 0.6040 0.3828 0.0996  3 O 2.32-2.56
Pb4 0.8960 0.3828 0.4004  3 O 2.32-2.56
Pb5 0.5000 0.5000 0.5000  6 O 2.51-2.55
Pb6 0.0000 0.5000 0.0000  6 O 2.51-2.55
Pb7 0.1040 0.6172 0.5996  3 O 2.32-2.56
Pb8 0.3960 0.6172 0.9004  3 O 2.32-2.56
Pb9 0.1049 0.9060 0.8891  3 O 2.34-2.55
Pb10 0.3951 0.9060 0.6109  3 O 2.34-2.55
O1 0.2437 0.0383 0.1081  2 Re 1.92-1.96
O2 0.2563 0.0383 0.3919  2 Re 1.92-1.96
O3 0.2500 0.0796 0.7500  2 Re 2.01
O4 0.5402 0.1104 0.7499  2 Re 1.95
O5 0.9598 0.1104 0.7501  2 Re 1.95
O6 0.1047 0.2502 0.9584  2 Re 1.98-2.00
O7 0.3953 0.2502 0.5416  2 Re 1.98-2.00
O8 0.7500 0.2438 0.2500  4 Pb 2.32-2.34
O9 0.0793 0.2487 0.2469  2 Re 2.01
O10 0.7550 0.2529 0.9207  2 Re 2.00-2.02
O11 0.7450 0.2529 0.5793  2 Re 2.00-2.02
O12 0.4207 0.2487 0.2531  2 Re 2.01
O13 0.1071 0.2514 0.5362  2 Re 1.92-1.96
O14 0.3929 0.2514 0.9638  2 Re 1.92-1.96
O15 0.9614 0.3977 0.7470  2 Re 1.97-1.99
O16 0.5386 0.3977 0.7530  2 Re 1.97-1.99
O17 0.2500 0.4203 0.7500  2 Re 2.01
O18 0.2475 0.4596 0.1044  2 Re 1.98-1.99
O19 0.2525 0.4596 0.3956  2 Re 1.98-1.99
O20 0.7475 0.5404 0.6044  2 Re 1.98-1.99
O21 0.7525 0.5404 0.8956  2 Re 1.98-1.99
O22 0.7500 0.5797 0.2500  2 Re 2.01
O23 0.4614 0.6023 0.2470  2 Re 1.97-1.99
O24 0.0386 0.6023 0.2530  2 Re 1.97-1.99
O25 0.6071 0.7486 0.0362  2 Re 1.92-1.96
O26 0.8929 0.7486 0.4638  2 Re 1.92-1.96
O27 0.2550 0.7471 0.4207  2 Re 2.00-2.02
O28 0.5793 0.7513 0.7469  2 Re 2.01
O29 0.2450 0.7471 0.0793  2 Re 2.00-2.02
O30 0.9207 0.7513 0.7531  2 Re 2.01
O31 0.2500 0.7562 0.7500  4 Pb 2.32-2.34
O32 0.6047 0.7498 0.4584  2 Re 1.98-2.00
O33 0.8953 0.7498 0.0416  2 Re 1.98-2.00
O34 0.0402 0.8896 0.2499  2 Re 1.95
O35 0.4598 0.8896 0.2501  2 Re 1.95
O36 0.7500 0.9204 0.2500  2 Re 2.01
O37 0.7437 0.9617 0.6081  2 Re 1.92-1.96
O38 0.7563 0.9617 0.8919  2 Re 1.92-1.96


This record from the Alexandria database describes a geometry-optimized Re2PbO6 structure. The functional is GGA-PBEsol.

## Properties
- crystal system = trigonal
- ΔE_f (raw) (meV/atom) = -1460
- energy (eV per formula unit) = -75.30

Cell: 7.1075 7.1075 7.1075 Å, 94.96 94.96 94.96°
Last column: nearest neighbours and their distance in Å.
Sites, in units of the cell vectors:
Pb1 0.3211 0.3211 0.3211  3 O 2.31
Pb2 0.6789 0.6789 0.6789  3 O 2.31
Pb3 0.0000 0.0000 0.0000  6 O 2.72
Re1 0.1518 0.5000 0.8482  6 O 1.87-2.05
Re2 0.8482 0.5000 0.1518  6 O 1.87-2.05
Re3 0.5000 0.8482 0.1518  6 O 1.87-2.05
Re4 0.1518 0.8482 0.5000  6 O 1.87-2.05
Re5 0.5000 0.1518 0.8482  6 O 1.87-2.05
Re6 0.8482 0.1518 0.5000  6 O 1.87-2.05
O1 0.3674 0.8316 0.3674  2 Re 1.87
O2 0.7032 0.2968 0.0000  2 Re 1.90
O3 0.9106 0.6217 0.9106  2 Re 2.05
O4 0.2968 0.7032 0.0000  2 Re 1.90
O5 0.3674 0.3674 0.8316  2 Re 1.87
O6 0.7032 0.0000 0.2968  2 Re 1.90
O7 0.9106 0.9106 0.6217  2 Re 2.05
O8 0.0894 0.3783 0.0894  2 Re 2.05
O9 0.3783 0.0894 0.0894  2 Re 2.05
O10 0.0000 0.7032 0.2968  2 Re 1.90
O11 0.6326 0.6326 0.1684  2 Re 1.87
O12 0.0000 0.2968 0.7032  2 Re 1.90
O13 0.0894 0.0894 0.3783  2 Re 2.05
O14 0.6326 0.1684 0.6326  2 Re 1.87
O15 0.8316 0.3674 0.3674  2 Re 1.87
O16 0.2968 0.0000 0.7032  2 Re 1.90
O17 0.6217 0.9106 0.9106  2 Re 2.05
O18 0.1684 0.6326 0.6326  2 Re 1.87


This record from the Alexandria database describes a geometry-optimized RePbSeO2 structure. The functional is GGA-PBEsol.

## Properties
- crystal system = tetragonal
- ΔE_f (raw) (meV/atom) = -672
- energy (eV per formula unit) = -35.04

Cell: 3.9613 3.9613 5.2143 Å, 90.00 90.00 90.00°
Last column: nearest neighbours and their distance in Å.
Sites, in units of the cell vectors:
Pb1 0.5000 0.5000 0.5000  4 Se 2.80
Re1 0.0000 0.0000 0.0000  4 O 1.98
O1 0.0000 0.5000 0.0000  2 Re 1.98
O2 0.5000 0.0000 0.0000  2 Re 1.98
Se1 0.0000 0.0000 0.5000  2 Re 2.61, 4 Pb 2.80